Below is a geometry-optimized Er2InCuTe4 structure, with properties calculated at the PBE-GGA level.

Computed properties:
For the energy relative to the elements, uncorrected, the calculation gives -0.905 eV/atom. Its calculated volume is 30.5 Å³ per atom. As for the total moment: 0.00 μB per atom.

Lattice parameters (Å, degrees): 4.313 7.738 15.219 90.00 90.00 106.18
Positions (direct):
Te: 0.000 0.000 0.500
Te: 0.444 0.888 0.750
Te: 0.556 0.112 0.250
Te: 0.730 0.459 0.615
Te: 0.000 0.000 0.000
Te: 0.730 0.459 0.885
Te: 0.270 0.541 0.385
Te: 0.270 0.541 0.115
Er: 0.366 0.731 0.933
Er: 0.366 0.731 0.567
Er: 0.634 0.269 0.433
Er: 0.634 0.269 0.067
In: 0.117 0.234 0.750
In: 0.883 0.766 0.250
Cu: 0.158 0.315 0.250
Cu: 0.842 0.685 0.750